A plane-wave DFT calculation with PBE was carried out for crystalline HfCuSbPt at its relaxed geometry.

- ΔE to the lowest computed polymorph: 0.0 meV per atom
- VASP energy: -6.30 eV/atom

Geometry as POSCAR:
```
HfCuSbPt
1.0
0.0000 3.3057 3.3057
3.3057 0.0000 3.3057
3.3057 3.3057 0.0000
Hf Cu Sb Pt
1 1 1 1
direct
0.0000 0.0000 0.0000
0.7500 0.7500 0.7500
0.5000 0.5000 0.5000
0.2500 0.2500 0.2500
```